## i
## Nd2GaS (GGA-PBE)

Data for an optimized crystal structure of Nd2GaS.

Structure (POSCAR):
```
Nd2GaS
1.0
-1.351 2.604 -2.650
0.706 -0.551 -3.851
-6.878 -3.417 -2.801
Ga S Nd
1 1 2
direct
0.499 0.499 0.502
0.668 0.668 0.996
0.073 0.073 0.781
0.260 0.260 0.220
```

Values from the calculation:
N(E_F) = 0.98 states/eV/atom
Crystal system = trigonal



## ii
## Nd2GaS (GGA-PBE)

Data for an optimized crystal structure of Nd2GaS.

Structure (POSCAR):
```
Nd2GaS
1.0
-1.915 -1.664 3.219
3.717 -0.209 2.103
-3.721 10.641 3.288
S Nd Ga
2 4 2
direct
0.250 0.192 0.384
0.750 0.808 0.616
0.750 0.686 0.371
0.250 0.314 0.629
0.750 0.930 0.861
0.250 0.070 0.139
0.750 0.537 0.074
0.250 0.463 0.926
```

Values from the calculation:
N(E_F) = 0.49 states/eV/atom
Crystal system = orthorhombic



Best to worst by energy: ii, i.



## i
## RbHg3Pt (GGA-PBE)

Data for an optimized crystal structure of RbHg3Pt.

Structure (POSCAR):
```
RbHg3Pt
1.0
-2.030 -13.611 4.214
5.493 -6.513 2.902
2.506 7.532 4.243
Rb Hg Pt
4 12 4
direct
0.750 0.226 0.726
0.250 0.405 0.905
0.750 0.595 0.095
0.250 0.774 0.274
0.098 0.925 0.753
0.598 0.747 0.575
0.910 0.425 0.585
0.902 0.075 0.247
0.915 0.742 0.927
0.410 0.915 0.075
0.085 0.258 0.073
0.590 0.085 0.925
0.585 0.427 0.242
0.402 0.253 0.425
0.090 0.575 0.415
0.415 0.573 0.758
0.812 0.953 0.382
0.188 0.047 0.618
0.688 0.882 0.453
0.312 0.118 0.547
```

Values from the calculation:
N(E_F) = 0.46 states/eV/atom
Crystal system = monoclinic



## ii
## RbHg3Pt (GGA-PBE)

Data for an optimized crystal structure of RbHg3Pt.

Structure (POSCAR):
```
RbHg3Pt
1.0
0.000 7.337 7.337
7.337 0.000 7.337
7.337 7.337 0.000
Pt Hg Rb
4 12 4
direct
0.625 0.125 0.625
0.625 0.625 0.125
0.125 0.625 0.625
0.625 0.625 0.625
0.926 0.574 0.574
0.926 0.574 0.926
0.676 0.676 0.324
0.324 0.324 0.676
0.324 0.676 0.324
0.926 0.926 0.574
0.324 0.676 0.676
0.676 0.324 0.324
0.574 0.926 0.926
0.574 0.574 0.926
0.676 0.324 0.676
0.574 0.926 0.574
0.125 0.125 0.125
0.125 0.125 0.625
0.125 0.625 0.125
0.625 0.125 0.125
```

Values from the calculation:
N(E_F) = 0.50 states/eV/atom
Crystal system = cubic



Best to worst by energy: ii, i.



## i
## B5C7 (GGA-PBE)

Data for an optimized crystal structure of B5C7.

Structure (POSCAR):
```
B5C7
1.0
0.412 -7.015 1.526
5.204 -5.022 0.505
-3.792 6.008 1.439
B C
5 7
direct
0.491 0.841 0.650
0.992 0.005 0.987
0.622 0.277 0.345
0.648 0.649 0.999
0.052 0.338 0.714
0.484 0.161 0.323
0.124 0.129 0.995
0.459 0.474 0.985
0.614 0.962 0.653
0.114 0.784 0.330
0.013 0.669 0.344
0.135 0.460 0.675
```

Values from the calculation:
N(E_F) = 0.13 states/eV/atom
Crystal system = monoclinic



## ii
## B5C7 (GGA-PBE)

Data for an optimized crystal structure of B5C7.

Structure (POSCAR):
```
B5C7
1.0
2.584 0.000 0.000
-1.292 2.238 0.000
0.000 0.000 13.592
B C
5 7
direct
0.000 0.000 0.515
0.333 0.667 0.155
0.667 0.333 0.309
0.000 0.000 0.390
0.000 0.000 0.873
0.667 0.333 0.195
0.667 0.333 0.828
0.333 0.667 0.676
0.333 0.667 0.567
0.000 0.000 0.998
0.667 0.333 0.717
0.333 0.667 0.027
```

Values from the calculation:
N(E_F) = 0.25 states/eV/atom
Crystal system = trigonal



Best to worst by energy: i, ii.



## i
## MgRe2Te (GGA-PBE)

Data for an optimized crystal structure of MgRe2Te.

Structure (POSCAR):
```
MgRe2Te
1.0
4.811 0.000 0.000
0.000 3.617 0.001
0.000 -0.796 4.817
Re Mg Te
2 1 1
direct
0.000 0.444 0.583
0.000 0.056 0.917
0.500 0.750 0.750
0.500 0.250 0.250
```

Values from the calculation:
N(E_F) = 0.55 states/eV/atom
Crystal system = monoclinic



## ii
## MgRe2Te (GGA-PBE)

Data for an optimized crystal structure of MgRe2Te.

Structure (POSCAR):
```
MgRe2Te
1.0
2.826 -0.002 0.000
-1.124 2.593 0.000
0.000 0.000 9.794
Re Mg Te
2 1 1
direct
0.000 0.000 0.514
0.000 0.000 0.986
0.500 0.500 0.750
0.500 0.500 0.250
```

Values from the calculation:
N(E_F) = 1.14 states/eV/atom
Crystal system = orthorhombic



Best to worst by energy: i, ii.



## i
## CuW2Au (GGA-PBE)

Data for an optimized crystal structure of CuW2Au.

Structure (POSCAR):
```
CuW2Au
1.0
3.310 0.000 0.000
0.000 3.310 0.000
0.000 0.000 5.746
W Au Cu
2 1 1
direct
0.000 0.000 0.536
0.000 0.000 0.964
0.500 0.500 0.250
0.500 0.500 0.750
```

Values from the calculation:
N(E_F) = 0.64 states/eV/atom
Crystal system = tetragonal



## ii
## CuW2Au (GGA-PBE)

Data for an optimized crystal structure of CuW2Au.

Structure (POSCAR):
```
CuW2Au
1.0
-2.985 -1.182 3.124
1.246 -0.288 4.293
-1.458 3.026 2.963
Au W Cu
1 2 1
direct
0.500 0.500 0.500
0.000 0.000 0.000
0.250 0.250 0.250
0.750 0.750 0.750
```

Values from the calculation:
N(E_F) = 0.68 states/eV/atom
Crystal system = cubic



Best to worst by energy: ii, i.



## i
## Li2LaY (GGA-PBE)

Data for an optimized crystal structure of Li2LaY.

Structure (POSCAR):
```
Li2LaY
1.0
6.324 0.002 0.040
5.323 3.416 0.040
2.168 0.636 5.034
Li Y La
2 1 1
direct
0.282 0.282 0.235
0.968 0.968 0.018
0.519 0.519 0.469
0.732 0.732 0.778
```

Values from the calculation:
N(E_F) = 1.52 states/eV/atom
Crystal system = monoclinic



## ii
## Li2LaY (GGA-PBE)

Data for an optimized crystal structure of Li2LaY.

Structure (POSCAR):
```
Li2LaY
1.0
-5.426 1.989 -0.601
-4.588 0.395 -3.543
-3.053 -4.919 1.795
Li Y La
2 1 1
direct
0.997 0.997 0.021
0.503 0.503 0.479
0.250 0.250 0.250
0.750 0.750 0.750
```

Values from the calculation:
N(E_F) = 0.89 states/eV/atom
Crystal system = monoclinic



Best to worst by energy: i, ii.



## i
## InCu2Br (GGA-PBE)

Data for an optimized crystal structure of InCu2Br.

Structure (POSCAR):
```
InCu2Br
1.0
3.613 0.000 0.000
0.000 3.802 -0.022
0.000 0.032 6.190
Cu Br In
2 1 1
direct
0.000 0.750 0.440
0.000 0.750 0.060
0.500 0.750 0.750
0.500 0.250 0.250
```

Values from the calculation:
N(E_F) = 0.24 states/eV/atom
Crystal system = orthorhombic



## ii
## InCu2Br (GGA-PBE)

Data for an optimized crystal structure of InCu2Br.

Structure (POSCAR):
```
InCu2Br
1.0
-2.908 -3.449 4.823
-0.799 -5.785 3.084
2.867 0.381 2.965
In Cu Br
1 2 1
direct
0.517 0.517 0.548
0.662 0.662 0.961
0.028 0.028 0.048
0.293 0.293 0.942
```

Values from the calculation:
N(E_F) = 0.34 states/eV/atom
Crystal system = monoclinic



Best to worst by energy: ii, i.



## i
## CaYZr2 (GGA-PBE)

Data for an optimized crystal structure of CaYZr2.

Structure (POSCAR):
```
CaYZr2
1.0
11.597 0.014 0.008
11.111 3.323 0.008
11.111 1.633 2.894
Zr Y Ca
2 1 1
direct
0.496 0.496 0.496
0.004 0.004 0.004
0.750 0.750 0.750
0.250 0.250 0.250
```

Values from the calculation:
N(E_F) = 1.44 states/eV/atom
Crystal system = trigonal



## ii
## CaYZr2 (GGA-PBE)

Data for an optimized crystal structure of CaYZr2.

Structure (POSCAR):
```
CaYZr2
1.0
-3.390 -4.039 2.879
4.798 -2.461 -2.650
1.762 0.475 2.745
Zr Ca Y
2 1 1
direct
0.500 0.500 0.000
0.000 0.000 0.000
0.500 0.000 0.500
0.000 0.500 0.500
```

Values from the calculation:
N(E_F) = 1.34 states/eV/atom
Crystal system = orthorhombic



Best to worst by energy: i, ii.